DFT (PBE) results for a relaxed structure of ScBePb2F. Values from VASP.

Values from the calculation:
* raw formation energy: -1.76 eV per formula unit
* total DFT energy (no corrections): -4.22 eV per atom
* M_tot: 0.00 Bohr magnetons per cell

```
&SYSTEM
  ibrav = 0, nat = 5, ntyp = 4
/
ATOMIC_SPECIES
Be 9.01 Be.upf
Pb 207.20 Pb.upf
F 19.00 F.upf
Sc 44.96 Sc.upf
CELL_PARAMETERS angstrom
5.840 0.000 0.000
0.000 3.908 0.000
0.000 0.000 5.840
ATOMIC_POSITIONS crystal
Be 0.500 0.500 0.500
Pb 0.000 0.000 0.500
Pb 0.500 0.000 0.000
F 0.000 0.500 0.000
Sc 0.000 0.000 0.000
```

***

DFT (PBE) results for a relaxed structure of Be2PbSeF. Values from VASP.

Values from the calculation:
* raw formation energy: 3.94 eV per formula unit
* total DFT energy (no corrections): -2.52 eV per atom
* M_tot: 1.07 Bohr magnetons per cell

```
&SYSTEM
  ibrav = 0, nat = 5, ntyp = 4
/
ATOMIC_SPECIES
Se 78.96 Se.upf
Be 9.01 Be.upf
Pb 207.20 Pb.upf
F 19.00 F.upf
CELL_PARAMETERS angstrom
4.687 0.000 0.000
0.000 5.623 0.000
0.000 0.000 4.687
ATOMIC_POSITIONS crystal
Se 0.000 0.500 0.000
Be 0.500 0.000 0.000
Be 0.000 0.000 0.500
Pb 0.000 0.000 0.000
F 0.500 0.500 0.500
```

***

DFT (PBE) results for a relaxed structure of SrBe2PbF8. Values from VASP.

Values from the calculation:
* raw formation energy: -38.47 eV per formula unit
* total DFT energy (no corrections): -5.52 eV per atom
* M_tot: 0.00 Bohr magnetons per cell

```
&SYSTEM
  ibrav = 0, nat = 12, ntyp = 4
/
ATOMIC_SPECIES
F 19.00 F.upf
Be 9.01 Be.upf
Pb 207.20 Pb.upf
Sr 87.62 Sr.upf
CELL_PARAMETERS angstrom
-4.528 -0.313 2.411
-4.014 -2.190 -2.346
-1.017 -7.014 2.657
ATOMIC_POSITIONS crystal
F 0.329 0.950 0.208
F 0.671 0.050 0.792
F 0.486 0.671 0.792
F 0.950 0.514 0.208
F 0.514 0.329 0.208
F 0.166 0.166 0.502
F 0.834 0.834 0.498
F 0.050 0.486 0.792
Be 0.760 0.760 0.720
Be 0.240 0.240 0.280
Pb 0.000 0.000 0.000
Sr 0.500 0.500 0.500
```

***

DFT (PBE) results for a relaxed structure of TiBePb2F. Values from VASP.

Values from the calculation:
* raw formation energy: -1.83 eV per formula unit
* total DFT energy (no corrections): -4.55 eV per atom
* M_tot: 0.00 Bohr magnetons per cell

```
&SYSTEM
  ibrav = 0, nat = 5, ntyp = 4
/
ATOMIC_SPECIES
Pb 207.20 Pb.upf
Ti 47.87 Ti.upf
Be 9.01 Be.upf
F 19.00 F.upf
CELL_PARAMETERS angstrom
5.523 0.000 0.000
0.000 3.165 0.000
0.000 0.000 5.523
ATOMIC_POSITIONS crystal
Pb 0.500 0.000 0.000
Pb 0.000 0.000 0.500
Ti 0.500 0.500 0.500
Be 0.000 0.000 0.000
F 0.000 0.500 0.000
```

***

DFT (PBE) results for a relaxed structure of BeTl2PbF6. Values from VASP.

Values from the calculation:
* raw formation energy: -22.59 eV per formula unit
* total DFT energy (no corrections): -4.60 eV per atom
* M_tot: 0.00 Bohr magnetons per cell

```
&SYSTEM
  ibrav = 0, nat = 10, ntyp = 4
/
ATOMIC_SPECIES
F 19.00 F.upf
Tl 204.38 Tl.upf
Be 9.01 Be.upf
Pb 207.20 Pb.upf
CELL_PARAMETERS angstrom
6.050 0.001 0.004
0.001 6.053 0.004
3.028 3.030 4.295
ATOMIC_POSITIONS crystal
F 0.288 0.288 0.001
F 0.712 0.288 0.000
F 0.712 0.712 0.999
F 0.713 0.713 0.575
F 0.287 0.287 0.425
F 0.288 0.712 0.000
Tl 0.250 0.750 0.500
Tl 0.750 0.250 0.500
Be 0.500 0.500 0.000
Pb 0.000 0.000 0.000
```

***

DFT (PBE) results for a relaxed structure of BeTlPbF6. Values from VASP.

Values from the calculation:
* raw formation energy: -20.34 eV per formula unit
* total DFT energy (no corrections): -4.60 eV per atom
* M_tot: 0.80 Bohr magnetons per cell

```
&SYSTEM
  ibrav = 0, nat = 9, ntyp = 4
/
ATOMIC_SPECIES
Pb 207.20 Pb.upf
F 19.00 F.upf
Be 9.01 Be.upf
Tl 204.38 Tl.upf
CELL_PARAMETERS angstrom
5.529 0.000 0.000
2.765 4.788 0.000
0.000 0.000 5.920
ATOMIC_POSITIONS crystal
Pb 0.667 0.667 0.500
F 0.064 0.346 0.321
F 0.064 0.590 0.679
F 0.346 0.590 0.321
F 0.590 0.064 0.321
F 0.590 0.346 0.679
F 0.346 0.064 0.679
Be 0.333 0.333 0.500
Tl 0.000 0.000 0.000
```